[1]
VASP calculation (PBE) on a relaxed Rb3U3RhS8 crystal.

abc: 7.7439 7.7432 9.1283
angles: 115.08 89.99 120.00
Element x y z (fractional)
S  0.2673  0.5346  0.3020
S  0.7793  0.0379  0.3172
S  0.7794  0.5589  0.3173
S  0.2582  0.0377  0.3174
S  0.2206  0.4411  0.6827
S  0.7418  0.9623  0.6826
S  0.7327  0.4654  0.6980
S  0.2207  0.9621  0.6828
U  0.5000  0.0000  0.5000
U  0.0000  0.5000  0.5000
U  0.5000  0.5000  0.5000
Rb  0.0000  0.5000  0.0000
Rb  0.5000  0.5000  0.0000
Rb  0.0000  0.0000  0.0000
Rh  0.0000  0.0000  0.5000

Computed properties:
calculated volume	413.4	Å³ per cell
Fermi-level density of states	15.3	states/eV per cell
raw formation energy	-1.201	eV/atom

---

[2]
VASP calculation (PBE) on a relaxed NdSmHgRu crystal.

abc: 3.5623 3.5623 7.7602
angles: 90.00 90.00 90.00
Element x y z (fractional)
Sm  0.5000  0.5000  0.3508
Hg  0.0000  0.0000  0.0765
Ru  0.0000  0.0000  0.5666
Nd  0.5000  0.5000  0.7908

Computed properties:
calculated formation energy	-0.350	eV/atom
calculated volume	98.5	Å³ per cell
Fermi-level density of states	3.7	states/eV per cell
relative energy among the computed polymorphs	0.0	kJ per mole of atoms

---

[3]
VASP calculation (PBE) on a relaxed Pm5SnHg4 crystal.

abc: 3.7867 3.7867 19.4332
angles: 90.00 90.00 90.00
Element x y z (fractional)
Pm  0.5000  0.5000  0.6979
Pm  0.5000  0.5000  0.3021
Pm  0.5000  0.5000  0.5000
Pm  0.5000  0.5000  0.8966
Pm  0.5000  0.5000  0.1034
Hg  0.0000  0.0000  0.4000
Hg  0.0000  0.0000  0.2053
Hg  0.0000  0.0000  0.6000
Hg  0.0000  0.0000  0.7947
Sn  0.0000  0.0000  0.0000

Computed properties:
calculated formation energy	-0.515	eV/atom
calculated volume	278.7	Å³ per cell
Fermi-level density of states	10.9	states/eV per cell

---

[4]
VASP calculation (PBE) on a relaxed K4Ag2Cl crystal.

abc: 6.2334 6.2334 9.1353
angles: 109.95 109.95 90.00
Element x y z (fractional)
Ag  0.5919  0.5919  0.1837
Ag  0.4081  0.4081  0.8163
K  0.0000  0.5000  0.0000
K  0.8054  0.8054  0.6108
K  0.5000  0.0000  0.0000
K  0.1946  0.1946  0.3892
Cl  0.0000  0.0000  0.0000

Computed properties:
calculated volume	310.9	Å³ per cell
Fermi-level density of states	3.3	states/eV per cell
raw formation energy	-0.456	eV/atom

---

> calculated volume of number 3 (Pm5SnHg4)?

278.7 Å³ per cell

---

> What is the Fermi-level density of states in the second record?

3.7 states/eV per cell

---

> Fermi-level density of states of number 3 (Pm5SnHg4)?

10.9 states/eV per cell